# Sr3MgAl2

An optimized crystal structure of Sr3MgAl2 (PBE-GGA, Alexandria via LeMat-Bulk).

abc: 7.7272 11.1197 9.5974
angles: 90.00 106.80 90.00
Last column: nearest neighbours and their distance in Å.
Space group P2_1/c (No. 14)
Unique sites:
Sr  0.1613  0.1405  0.4730 (multiplicity 4)  4 Al 3.21-3.39, 2 Mg 3.25-3.52, 1 Sr 3.59
Sr  0.2399  0.0449  0.1114 (multiplicity 4)  3 Al 3.28-3.62, 1 Mg 3.52, 1 Sr 3.60
Sr  0.2884  0.6238  0.2709 (multiplicity 4)  2 Mg 3.23-3.57, 4 Al 3.47-3.60, 2 Sr 3.59-3.60
Mg  0.4000  0.6216  0.9352 (multiplicity 4)  1 Mg 3.18, 3 Al 3.20-3.32, 4 Sr 3.23-3.52
Al  0.0161  0.1274  0.7539 (multiplicity 4)  1 Al 2.95, 1 Mg 3.20, 2 Sr 3.21-3.28
Al  0.4064  0.1790  0.8247 (multiplicity 4)  1 Al 2.95, 1 Mg 3.24

calculated volume	32.893	A^3/atom
electronic total energy	-2.384	eV per atom
E_form	-29.7	meV per atom